First-principles (PBE) data for a relaxed structure of Tb2MgAl3Pd4, as listed in Alexandria via LeMat-Bulk.

Magnetization, μB/f.u.: 0.00
Uncorrected energy, eV per atom: -5.0843
Calculated volume, Å³ per cell: 192
Density, g cm⁻³: 7.3

abc: 4.2963 4.2963 10.4103
angles: 90.00 90.00 90.00
Element x y z (fractional)
Tb: 0.0000 0.5000 0.2396
Tb: 0.5000 0.0000 0.7604
Mg: 0.0000 0.0000 0.5000
Al: 0.0000 0.5000 0.8763
Al: 0.5000 0.0000 0.1237
Al: 0.5000 0.5000 0.5000
Pd: 0.0000 0.0000 0.0000
Pd: 0.0000 0.5000 0.6412
Pd: 0.5000 0.0000 0.3588
Pd: 0.5000 0.5000 0.0000